A relaxed Be3MoN crystal, computed with PBE-GGA.

Results
The calculation puts the density of states at the Fermi level at 0.599 states/eV/atom. The energy relative to the lowest polymorph listed for this composition comes out at 0.000 eV/f.u.

Cell lengths 3.612, 3.612, 3.612 Å; angles 90.00, 90.00, 90.00 degrees
Site moments in Bohr magnetons follow the coordinates.
Positions (direct):
1 Be 0.000 0.500 0.000  0.00
2 Be 0.000 0.000 0.500  0.01
3 Be 0.500 0.000 0.000  0.00
4 Mo 0.500 0.500 0.500  1.12
5 N 0.000 0.000 0.000  0.20